[1]
Compound: KMgCd2
Source: Alexandria via LeMat-Bulk
Functional: meta-GGA SCAN
Structure: single point on PBEsol structure

Computed properties:
Space group ... P4/mmm
Crystal system ... tetragonal
Total magnetic moment ... 0.00 μB per atom
Energy ... -73.86 eV per cell

Lattice parameters (Å, degrees): 5.556 5.556 3.481 90.00 90.00 90.00
Fractional coordinates of all 4 atoms:
K  0.000  0.000  0.000
Mg  0.500  0.500  0.000
Cd  0.000  0.500  0.500
Cd  0.500  0.000  0.500

---

[2]
Compound: KMg2Cd2
Source: Alexandria via LeMat-Bulk
Functional: meta-GGA SCAN
Structure: single point on PBEsol structure

Computed properties:
Distance to the lowest polymorph of the same formula ... 0 meV per atom
Space group ... P4/mbm
Crystal system ... tetragonal
Total magnetic moment ... 0.00 μB per atom
Energy ... -159.16 eV per cell

Lattice parameters (Å, degrees): 9.103 9.103 3.046 90.00 90.00 90.00
Fractional coordinates of all 10 atoms:
K  0.000  0.000  0.000
K  0.500  0.500  0.000
Mg  0.134  0.366  0.500
Mg  0.366  0.866  0.500
Mg  0.634  0.134  0.500
Mg  0.866  0.634  0.500
Cd  0.157  0.657  0.000
Cd  0.343  0.157  0.000
Cd  0.657  0.843  0.000
Cd  0.843  0.343  0.000

---

Record order is preserved below.
D(E_F): 1.8; 4.2 states/eV/cell